Record 1
Below is an optimized crystal structure of MgAg5Cl8, with properties calculated at the PBE level.

Structure (CIF):
```
data_MgAg5Cl8
_chemical_formula_sum 'Mg2 Ag10 Cl16'
_space_group_name_H-M_alt 'I -4'
_space_group_IT_number 82
_cell_length_a 9.099
_cell_length_b 9.099
_cell_length_c 8.281
_cell_angle_alpha 90.00
_cell_angle_beta 90.00
_cell_angle_gamma 90.00
loop_
_space_group_symop_operation_xyz
'x,y,z'
'y,-x,-z'
'-x,-y,z'
'-y,x,-z'
'x+1/2,y+1/2,z+1/2'
'y+1/2,-x+1/2,-z+1/2'
'-x+1/2,-y+1/2,z+1/2'
'-y+1/2,x+1/2,-z+1/2'
loop_
_atom_site_label
_atom_site_fract_x
_atom_site_fract_y
_atom_site_fract_z
Mg1 0.000 0.000 0.000
Ag1 0.000 0.500 0.750
Ag2 0.216 0.763 0.372
Cl1 0.023 0.758 0.112
Cl2 0.047 0.762 0.636
```

Values from the calculation:
As for the raw formation energy: -9.81 eV per formula unit. The magnetic moment is 0.00 μB per formula unit. As for the total energy: -2.8880 eV per atom. The calculation puts the density at 4.10 g cm⁻³.

***

Record 2
Below is an optimized crystal structure of MgMnAgCl6, with properties calculated at the PBE level.

Structure (CIF):
```
data_MgMnAgCl6
_chemical_formula_sum 'Mg2 Mn2 Ag2 Cl12'
_space_group_name_H-M_alt 'P -3 1 c'
_space_group_IT_number 163
_space_group_name_Hall '-P 3 2c'
_cell_length_a 6.3155
_cell_length_b 6.3155
_cell_length_c 11.9689
_cell_angle_alpha 90.00
_cell_angle_beta 90.00
_cell_angle_gamma 120.00
loop_
_atom_site_label
_atom_site_fract_x
_atom_site_fract_y
_atom_site_fract_z
Mg1 0.3333 0.6667 0.2500
Mn1 0.3333 0.6667 0.7500
Ag1 0.0000 0.0000 0.0000
Cl1 0.0132 0.3620 0.6347
```

Values from the calculation:
As for the raw formation energy: -10.09 eV per formula unit. The magnetic moment is 4.00 μB per formula unit. As for the total energy: -3.8651 eV per atom. The calculation puts the density at 3.21 g cm⁻³.

***

Record 3
Below is an optimized crystal structure of Na2MgAgCl5, with properties calculated at the PBE level.

Structure (CIF):
```
data_Na2MgAgCl5
_chemical_formula_sum 'Na8 Mg4 Ag4 Cl20'
_space_group_name_H-M_alt 'C m c 21'
_space_group_IT_number 36
_cell_length_a 3.851
_cell_length_b 16.269
_cell_length_c 13.940
_cell_angle_alpha 90.00
_cell_angle_beta 90.00
_cell_angle_gamma 90.00
loop_
_space_group_symop_operation_xyz
'x,y,z'
'-x,-y,z+1/2'
'-x,y,z'
'x,-y,z+1/2'
'x+1/2,y+1/2,z'
'-x+1/2,-y+1/2,z+1/2'
'-x+1/2,y+1/2,z'
'x+1/2,-y+1/2,z+1/2'
loop_
_atom_site_label
_atom_site_fract_x
_atom_site_fract_y
_atom_site_fract_z
Na1 0.000 0.069 0.000
Na2 0.000 0.144 0.610
Mg1 0.000 0.244 0.374
Ag1 0.000 0.449 0.777
Cl1 0.000 0.093 0.398
Cl2 0.000 0.250 0.006
Cl3 0.000 0.267 0.754
Cl4 0.000 0.393 0.368
Cl5 0.000 0.486 0.114
```

Values from the calculation:
As for the raw formation energy: -13.41 eV per formula unit. The magnetic moment is 0.00 μB per formula unit. As for the total energy: -3.3031 eV per atom. The calculation puts the density at 2.70 g cm⁻³.